No. 1
GGA-PBE KTlCdTe2, optimized geometry; symmetry = C2/m; volume = 38.8 A^3/atom; total moment = 0.00 μB per formula unit; final energy = -2.735 eV per atom; calculated density = 5.23 Mg/m³
1.0
4.7588 0.0000 0.0000
2.3794 9.4132 1.0485
2.3794 2.5464 8.9504
Te K Cd Tl
4 2 2 2
direct
0.3998 0.8075 0.3929
0.1316 0.7627 0.9742
0.6002 0.1925 0.6071
0.8684 0.2373 0.0258
0.7592 0.7981 0.6834
0.2408 0.2019 0.3166
0.0548 0.0925 0.7978
0.9452 0.9075 0.2022
0.3899 0.4271 0.7931
0.6101 0.5729 0.2069

No. 2
GGA-PBE LaCo2P, optimized geometry; symmetry = F-43m; volume = 17.3 A^3/atom; total moment = 3.24 μB per formula unit; final energy = -5.996 eV per atom; calculated density = 6.90 Mg/m³
1.0
-3.2166 0.1188 3.3001
-4.4601 -0.3387 -1.1153
-2.3574 -3.8173 1.0594
P Co La
1 2 1
direct
0.7500 0.7500 0.7500
0.2500 0.2500 0.2500
0.0000 0.0000 0.0000
0.5000 0.5000 0.5000

No. 3
GGA-PBE CrSi2Rh2, optimized geometry; symmetry = P4/mbm; volume = 13.5 A^3/atom; total moment = 0.01 μB per formula unit; final energy = -7.275 eV per atom; calculated density = 7.75 Mg/m³
1.0
7.0558 0.0000 0.0000
0.0000 7.0558 0.0000
0.0000 0.0000 2.7031
Si Cr Rh
4 2 4
direct
0.6610 0.8390 0.5000
0.3389 0.1610 0.5000
0.1610 0.6610 0.5000
0.8390 0.3389 0.5000
0.0000 0.0000 0.0000
0.5000 0.5000 0.0000
0.8618 0.6382 0.0000
0.1382 0.3618 0.0000
0.6382 0.1382 0.0000
0.3618 0.8618 0.0000

No. 4
GGA-PBE NiMoAs4, optimized geometry; symmetry = F-43m; volume = 17.6 A^3/atom; total moment = 0.00 μB per formula unit; final energy = -5.011 eV per atom; calculated density = 7.16 Mg/m³
1.0
-4.2294 -3.1941 0.0971
-4.0943 1.1192 3.1755
-4.5979 1.6264 -2.0770
Ni Mo As
1 1 4
direct
0.0000 0.0000 0.0000
0.7500 0.7500 0.7500
0.3753 0.3753 0.8742
0.3753 0.8742 0.3753
0.3753 0.3753 0.3753
0.8742 0.3753 0.3753

No. 5
GGA-PBE Mg2Cd2In5, optimized geometry; symmetry = P-1; volume = 25.7 A^3/atom; total moment = 0.00 μB per formula unit; final energy = -2.054 eV per atom; calculated density = 6.09 Mg/m³
1.0
4.8292 -1.7598 1.2520
-2.1984 7.8598 1.7737
-0.2167 2.0447 7.3757
Cd In Mg
2 5 2
direct
0.6861 0.4609 0.6294
0.3139 0.5391 0.3706
0.1985 0.5271 0.7951
0.4094 0.9770 0.2713
0.5906 0.0230 0.7287
0.0000 0.0000 0.0000
0.8015 0.4729 0.2049
0.0916 0.2040 0.2602
0.9084 0.7960 0.7398

No. 6
GGA-PBE Th2PaSe6, optimized geometry; symmetry = P4_2/mnm; volume = 33.6 A^3/atom; total moment = 1.01 μB per formula unit; final energy = -6.513 eV per atom; calculated density = 6.41 Mg/m³
1.0
-5.6172 2.3617 -2.9301
1.3237 -3.6880 -5.5102
-6.8999 -10.0894 5.0952
Se Pa Th
12 2 4
direct
0.6939 0.6939 0.8358
0.3061 0.3061 0.1642
0.8027 0.1973 0.0000
0.8061 0.1939 0.3358
0.1973 0.8027 0.0000
0.6939 0.6939 0.1642
0.1939 0.8061 0.3358
0.8061 0.1939 0.6642
0.6973 0.6973 0.5000
0.3061 0.3061 0.8358
0.3027 0.3027 0.5000
0.1939 0.8061 0.6642
0.0000 0.0000 0.5000
0.5000 0.5000 0.0000
0.0000 0.0000 0.8330
0.0000 0.0000 0.1670
0.5000 0.5000 0.6670
0.5000 0.5000 0.3330

No. 7
GGA-PBE Ho2HfRh, optimized geometry; symmetry = P4/mmm; volume = 23.1 A^3/atom; total moment = 0.00 μB per formula unit; final energy = -6.941 eV per atom; calculated density = 10.98 Mg/m³
1.0
-1.5358 -3.0077 -0.6407
2.7075 -1.6621 1.3124
-3.3202 0.1861 7.0851
Ho Hf Rh
2 1 1
direct
0.0000 0.0000 0.7885
0.0000 0.0000 0.2115
0.5000 0.5000 0.5000
0.5000 0.5000 0.0000

No. 8
GGA-PBE Pm3Nd5Ho3, optimized geometry; symmetry = P-62m; volume = 35.4 A^3/atom; total moment = 0.00 μB per formula unit; final energy = -4.398 eV per atom; calculated density = 7.05 Mg/m³; offset from the most stable computed form = 0.000 eV per atom
1.0
-3.1483 1.4095 0.3448
-4.2376 -10.1678 2.8716
4.0056 6.9774 8.0534
Ho Pm Nd
3 3 5
direct
0.5000 0.8410 0.0000
0.5000 0.1590 0.1590
0.5000 0.0000 0.8410
0.0000 0.0000 0.5971
0.0000 0.4029 0.4029
0.0000 0.5971 0.0000
0.5000 0.0000 0.3376
0.5000 0.3333 0.6667
0.5000 0.3376 0.0000
0.5000 0.6667 0.3333
0.5000 0.6624 0.6624

No. 9
GGA-PBE BaMnBe, optimized geometry; symmetry = F-43m; volume = 28.4 A^3/atom; total moment = 3.75 μB per formula unit; final energy = -3.997 eV per atom; calculated density = 3.92 Mg/m³; offset from the most stable computed form = 0.356 eV per atom
1.0
4.9400 0.0000 0.0000
2.4700 4.2782 0.0000
2.4700 1.4261 4.0335
Mn Ba Be
1 1 1
direct
0.0000 0.0000 0.0000
0.5000 0.5000 0.5000
0.7500 0.7500 0.7500

No. 10
GGA-PBE TbPrGa2Pd2, optimized geometry; symmetry = P-3m1; volume = 21.2 A^3/atom; total moment = 0.00 μB per formula unit; final energy = -5.136 eV per atom; calculated density = 8.53 Mg/m³
1.0
-2.7996 1.8550 3.0502
-1.6472 -2.7382 -3.2205
0.9506 -5.6119 4.2854
Pd Tb Ga Pr
2 1 2 1
direct
0.6667 0.3333 0.2731
0.3333 0.6667 0.7269
0.0000 0.0000 0.5000
0.6667 0.3333 0.7304
0.3333 0.6667 0.2696
0.0000 0.0000 0.0000

No. 11
GGA-PBE La3Ce2NdP6, optimized geometry; symmetry = C2/m; volume = 26.1 A^3/atom; total moment = 0.97 μB per formula unit; final energy = -6.869 eV per atom; calculated density = 5.45 Mg/m³
1.0
7.2557 -0.0009 0.0006
-3.6268 6.2842 0.0006
-1.2101 -2.0953 6.8573
La P Ce Nd
3 6 2 1
direct
0.5000 0.5000 0.5000
0.1658 0.8342 0.5000
0.8342 0.1658 0.5000
0.7411 0.7411 0.2395
0.5814 0.9201 0.7605
0.0799 0.4186 0.2395
0.2589 0.2589 0.7605
0.9201 0.5814 0.7605
0.4186 0.0799 0.2395
0.3331 0.6669 0.0000
0.6669 0.3331 0.0000
0.0000 0.0000 0.0000

No. 12
GGA-PBE Ba3In2Cl2O5, optimized geometry; symmetry = I4/mmm; volume = 19.7 A^3/atom; total moment = 0.00 μB per formula unit; final energy = -5.499 eV per atom; calculated density = 5.57 Mg/m³
1.0
13.1338 0.0053 0.0000
11.7223 5.9230 0.0000
-12.4281 -2.9641 3.0419
O Ba Cl In
5 3 2 2
direct
0.9063 0.4063 0.5000
0.0937 0.5937 0.5000
0.5937 0.0937 0.5000
0.0000 0.0000 0.0000
0.4063 0.9063 0.5000
0.3393 0.3393 0.0000
0.6607 0.6607 0.0000
0.5000 0.5000 0.0000
0.2045 0.2045 0.0000
0.7955 0.7955 0.0000
0.9180 0.9180 0.0000
0.0820 0.0820 0.0000

No. 13
GGA-PBE RbAu, optimized geometry; symmetry = Pm-3m; volume = 36.5 A^3/atom; total moment = 0.00 μB per formula unit; final energy = -2.399 eV per atom; calculated density = 6.43 Mg/m³
1.0
4.1787 0.0000 0.0000
0.0000 4.1787 0.0000
0.0000 0.0000 4.1787
Au Rb
1 1
direct
0.5000 0.5000 0.5000
0.0000 0.0000 0.0000

No. 14
GGA-PBE LaY2Co2, optimized geometry; symmetry = C2/c; volume = 23.4 A^3/atom; total moment = 0.00 μB per formula unit; final energy = -6.543 eV per atom; calculated density = 6.17 Mg/m³; offset from the most stable computed form = 0.000 eV per atom
1.0
-3.3230 -1.9510 4.4643
5.3677 -3.0260 -1.2223
2.5529 5.3435 4.2355
Co Y La
4 4 2
direct
0.9738 0.6646 0.9829
0.3091 0.3354 0.5171
0.0262 0.3354 0.0171
0.6909 0.6646 0.4829
0.4474 0.6757 0.8469
0.5526 0.3243 0.1531
0.7717 0.3243 0.6531
0.2283 0.6757 0.3469
0.9148 0.0000 0.2500
0.0852 0.0000 0.7500

No. 15
GGA-PBE Na3LaBr6, optimized geometry; symmetry = R3; volume = 33.6 A^3/atom; total moment = 0.00 μB per formula unit; final energy = -3.618 eV per atom; calculated density = 3.39 Mg/m³; offset from the most stable computed form = 0.000 eV per atom
1.0
6.6685 0.0000 3.5387
2.3953 6.2234 3.5387
-0.0194 -0.0133 8.0890
Br Na La
6 3 1
direct
0.7534 0.0524 0.7462
0.0524 0.4480 0.7462
0.5661 0.2389 0.2490
0.9459 0.5661 0.2490
0.2389 0.9459 0.2490
0.4480 0.7534 0.7462
0.6480 0.6480 0.0561
0.3502 0.3502 0.9494
0.1525 0.1525 0.5425
0.8446 0.8446 0.4662

No. 16
GGA-PBE Dy5N4O, optimized geometry; symmetry = Immm; volume = 14.6 A^3/atom; total moment = 0.00 μB per formula unit; final energy = -8.133 eV per atom; calculated density = 10.04 Mg/m³
1.0
3.3968 0.0000 -0.6553
-0.2518 4.7023 -1.3053
0.0051 0.0032 9.1574
O Dy N
1 5 4
direct
0.0000 0.0000 0.0000
0.1999 0.6999 0.3998
0.6041 0.1041 0.2081
0.0000 0.5000 0.0000
0.3959 0.8959 0.7919
0.8001 0.3001 0.6002
0.4018 0.4018 0.8037
0.8026 0.8026 0.6053
0.5982 0.5982 0.1963
0.1974 0.1974 0.3947

No. 17
GGA-PBE Cu2HgTe, optimized geometry; symmetry = Immm; volume = 19.8 A^3/atom; total moment = 0.00 μB per formula unit; final energy = -2.649 eV per atom; calculated density = 9.53 Mg/m³; offset from the most stable computed form = 0.151 eV per atom
1.0
-3.4748 2.8455 1.6912
-2.6206 -1.6080 -3.6847
1.7997 -2.7914 3.4641
Cu Te Hg
2 1 1
direct
0.9672 0.9672 0.0000
0.5328 0.5328 0.0000
0.2500 0.7500 0.5000
0.7500 0.2500 0.5000

No. 18
GGA-PBE BeMoSe, optimized geometry; symmetry = I4mm; volume = 13.4 A^3/atom; total moment = 0.00 μB per formula unit; final energy = -6.031 eV per atom; calculated density = 7.61 Mg/m³; offset from the most stable computed form = 0.000 eV per atom
1.0
-1.9687 1.6310 -3.7671
2.0146 -0.4530 -4.0575
-1.0750 -2.5576 3.6098
Se Mo Be
1 1 1
direct
0.6698 0.6698 0.0000
0.3339 0.3339 0.0000
0.9963 0.9963 0.0000

No. 19
GGA-PBE Ba2CaH6Os, optimized geometry; symmetry = P-3m1; volume = 17.7 A^3/atom; total moment = 0.00 μB per formula unit; final energy = -4.132 eV per atom; calculated density = 4.79 Mg/m³
1.0
6.2217 0.0000 0.0000
0.0000 5.7345 0.0000
0.0000 -2.8672 4.9662
H Ba Os Ca
6 2 1 1
direct
0.8315 0.1405 0.8595
0.8315 0.7190 0.8595
0.1685 0.8595 0.1405
0.1685 0.2810 0.1405
0.1685 0.8595 0.7190
0.8315 0.1405 0.2810
0.1673 0.3333 0.6667
0.8327 0.6667 0.3333
0.0000 0.0000 0.0000
0.5000 0.0000 0.0000

No. 20
GGA-PBE Rb2CrGaS4, optimized geometry; symmetry = Imma; volume = 22.4 A^3/atom; total moment = 2.98 μB per formula unit; final energy = -4.573 eV per atom; calculated density = 3.89 Mg/m³
1.0
7.9785 -0.0001 -0.0320
-0.0057 7.9785 -0.0320
-3.9088 -3.9116 5.6717
Rb S Cr Ga
4 8 2 2
direct
0.5000 0.0000 0.5000
0.5000 0.5000 0.0000
0.5000 0.0000 0.0000
0.0000 0.0000 0.5000
0.8241 0.2834 0.0538
0.7780 0.7219 0.5421
0.7781 0.7220 0.9579
0.2219 0.2780 0.0421
0.2166 0.6759 0.4462
0.1759 0.7166 0.9462
0.7834 0.3241 0.5538
0.2220 0.2781 0.4579
0.0000 0.5000 0.5000
0.0000 0.5000 0.0000
0.5000 0.5000 0.5000
0.0000 0.0000 0.0000

No. 21
GGA-PBE TmLuSiAg, optimized geometry; symmetry = F-43m; volume = 21.6 A^3/atom; total moment = 0.00 μB per formula unit; final energy = -4.739 eV per atom; calculated density = 9.24 Mg/m³
1.0
4.9592 0.0000 0.0000
2.4796 4.2948 0.0000
2.4796 1.4316 4.0492
Tm Ag Si Lu
1 1 1 1
direct
0.5000 0.5000 0.5000
0.2500 0.2500 0.2500
0.7500 0.7500 0.7500
0.0000 0.0000 0.0000

No. 22
GGA-PBE Ca2AsCl, optimized geometry; symmetry = Fm-3m; volume = 23.9 A^3/atom; total moment = 0.00 μB per formula unit; final energy = -4.085 eV per atom; calculated density = 3.30 Mg/m³
1.0
-1.7104 -4.7384 -0.9946
-4.6304 -1.4615 1.6704
-3.8338 -0.6964 -3.3442
Ca As Cl
2 1 1
direct
0.2500 0.2500 0.2500
0.7500 0.7500 0.7500
0.5000 0.5000 0.5000
0.0000 0.0000 0.0000

No. 23
GGA-PBE PaTl2Pd, optimized geometry; symmetry = R-3m; volume = 24.5 A^3/atom; total moment = 0.00 μB per formula unit; final energy = -4.647 eV per atom; calculated density = 12.64 Mg/m³
1.0
3.2172 0.0000 0.0000
1.6086 2.7862 0.0000
1.6086 0.9287 10.9353
Tl Pa Pd
2 1 1
direct
0.9021 0.9021 0.2937
0.0979 0.0979 0.7063
0.0000 0.0000 0.0000
0.5000 0.5000 0.5000

No. 24
GGA-PBE Pr2TmTlC, optimized geometry; symmetry = P4/mmm; volume = 26.2 A^3/atom; total moment = 0.00 μB per formula unit; final energy = -5.433 eV per atom; calculated density = 8.45 Mg/m³
1.0
4.8475 0.0000 0.0000
0.0000 5.2006 0.0000
0.0000 0.0000 5.2006
C Pr Tl Tm
1 2 1 1
direct
0.0000 0.0000 0.0000
0.0000 0.5000 0.0000
0.0000 0.0000 0.5000
0.5000 0.5000 0.5000
0.5000 0.0000 0.0000

No. 25
GGA-PBE KNaTe, optimized geometry; symmetry = Pnma; volume = 34.7 A^3/atom; total moment = 0.00 μB per formula unit; final energy = -2.861 eV per atom; calculated density = 3.03 Mg/m³
1.0
-4.0966 0.6886 -3.0318
1.2892 -7.7720 -3.5072
-5.4982 -3.8681 6.5507
K Na Te
4 4 4
direct
0.2500 0.0148 0.8152
0.2500 0.5148 0.6848
0.7500 0.9852 0.1848
0.7500 0.4852 0.3152
0.2500 0.6454 0.0723
0.2500 0.1454 0.4277
0.7500 0.8546 0.5723
0.7500 0.3546 0.9277
0.7500 0.7233 0.8915
0.7500 0.2233 0.6085
0.2500 0.2767 0.1085
0.2500 0.7767 0.3915